(1)
4
Lattice="-1.495 3.420 4.166 -4.274 -1.364 3.340 0.960 -1.474 5.310" Properties=species:S:1:pos:R:3 comment="Nd2PbI GGA-PBE relaxed" dos_at_fermi_per_ev_fu=3.6 spacegroup="No. 225" raw_formation_energy_ev_per_fu=-2.59 e_above_lowest_polymorph_mev_per_atom=113.2 pbc="T T T"
I -2.405 0.291 6.408
Nd -3.607 0.437 9.612
Pb 0.000 0.000 0.000
Nd -1.202 0.146 3.204

***

(2)
5
Lattice="5.988 0.000 0.000 0.000 5.988 0.000 0.000 0.000 5.648" Properties=species:S:1:pos:R:3 comment="Cs2RbHAu GGA-PBE relaxed" dos_at_fermi_per_ev_fu=4.1 spacegroup="No. 123" e_above_lowest_polymorph_mev_per_atom=9.9 pbc="T T T"
Rb 0.000 0.000 2.824
Cs 0.000 2.994 0.000
Cs 2.994 0.000 0.000
H 0.000 0.000 0.000
Au 2.994 2.994 2.824

***

(3)
12
Lattice="4.288 0.000 0.000 0.000 5.766 0.000 0.000 0.000 9.787" Properties=species:S:1:pos:R:3 comment="La2Zn5Ag5 GGA-PBE relaxed" dos_at_fermi_per_ev_fu=5.7 spacegroup="No. 47" formation_enthalpy_0k_kj_per_mol_fu=-281 e_above_lowest_polymorph_mev_per_atom=18.1 pbc="T T T"
Ag 2.144 4.322 2.382
Zn 0.000 0.000 8.229
Zn 0.000 2.883 6.517
Ag 2.144 4.322 7.406
Zn 0.000 0.000 1.558
La 0.000 0.000 4.894
La 0.000 2.883 0.000
Zn 2.144 0.000 0.000
Ag 2.144 1.444 7.406
Ag 2.144 1.444 2.382
Zn 0.000 2.883 3.270
Ag 2.144 2.883 4.894

***

(4)
16
Lattice="7.292 0.000 0.000 0.000 7.597 0.207 -3.646 -3.640 5.160" Properties=species:S:1:pos:R:3 comment="K4Pr3NpO8 GGA-PBE relaxed" dos_at_fermi_per_ev_fu=9.0 spacegroup="No. 166" raw_formation_energy_ev_per_fu=-39.59 pbc="T T T"
Pr -1.823 1.978 2.684
O 5.529 2.221 0.236
O -1.883 1.736 5.131
O 3.646 3.586 2.530
O 3.646 0.340 2.901
K 0.000 0.000 0.000
K 1.823 -1.820 2.580
K -1.823 -1.820 2.580
K 3.646 0.000 0.000
Pr 3.646 3.798 0.103
O 1.763 2.221 0.236
Pr 1.823 1.978 2.684
O 0.000 0.371 2.837
O 1.883 1.736 5.131
O 0.000 3.616 2.466
Np 0.000 3.798 0.103

***

Sequential magnetization output: 0.00; 0.10; 0.00; 4.01 Bohr magnetons per cell